Compound: Sm3Zn2Cu4
Source: Alexandria via LeMat-Bulk
Functional: PBE
Structure: optimized geometry

Values from the calculation:
* formation enthalpy at 0 K: -268 meV/atom
* total energy: -0.1450 hartree per atom
* space-group type: No. 12

abc: 4.373 5.666 8.420
angles: 110.76 90.00 112.70
Atoms (fractional coordinates):
Sm: 0.650 0.300 0.685
Sm: 0.000 0.000 0.000
Sm: 0.350 0.700 0.315
Zn: 0.643 0.285 0.308
Zn: 0.357 0.715 0.692
Cu: 0.725 0.450 0.059
Cu: 0.275 0.550 0.941
Cu: 0.922 0.843 0.589
Cu: 0.078 0.157 0.411